Entry 1:
YTl3Ga2O6 | GGA-PBE | relaxed

Geometry as CIF:
```
data_YTl3Ga2O6
_cell_length_a 6.1572
_cell_length_b 6.1572
_cell_length_c 7.3120
_cell_angle_alpha 90.00
_cell_angle_beta 90.00
_cell_angle_gamma 120.00
_space_group_name_H-M_alt 'P -3 m 1'
_space_group_IT_number 164
_space_group_name_Hall '-P 3 2"'
loop_
_atom_site_label
_atom_site_type_symbol
_atom_site_fract_x
_atom_site_fract_y
_atom_site_fract_z
Y1 Y 0.0000 0.0000 0.0000
Tl1 Tl 0.0000 0.0000 0.5000
Tl2 Tl 0.3333 0.6667 0.2571
Ga1 Ga 0.3333 0.6667 0.8061
O1 O 0.1661 0.3322 0.8037
```

Summary:
E_tot: -68.19 eV for the cell shown
ΔE_f (raw): -1569 meV per atom



Entry 2:
Y4TlGaO | GGA-PBE | relaxed

Geometry as CIF:
```
data_Y4TlGaO
_cell_length_a 6.495
_cell_length_b 16.245
_cell_length_c 6.509
_cell_angle_alpha 90.00
_cell_angle_beta 90.00
_cell_angle_gamma 90.00
_space_group_name_H-M_alt 'C m c m'
_space_group_IT_number 63
_space_group_name_Hall '-C 2c 2'
loop_
_atom_site_label
_atom_site_type_symbol
_atom_site_fract_x
_atom_site_fract_y
_atom_site_fract_z
Y1 Y 0.000 0.068 0.250
Y2 Y 0.000 0.418 0.250
Y3 Y 0.250 0.250 0.000
Tl1 Tl 0.000 0.391 0.750
Ga1 Ga 0.000 0.117 0.750
O1 O 0.000 0.262 0.250
```

Summary:
E_tot: -176.35 eV for the cell shown
ΔE_f (raw): -1126 meV per atom



Entry 3:
TlZnGaO4 | GGA-PBE | relaxed

Geometry as CIF:
```
data_TlZnGaO4
_cell_length_a 6.224
_cell_length_b 6.361
_cell_length_c 8.950
_cell_angle_alpha 90.00
_cell_angle_beta 90.00
_cell_angle_gamma 90.00
_space_group_name_H-M_alt 'I m m a'
_space_group_IT_number 74
_space_group_name_Hall '-I 2b 2'
loop_
_atom_site_label
_atom_site_type_symbol
_atom_site_fract_x
_atom_site_fract_y
_atom_site_fract_z
Tl1 Tl 0.000 0.000 0.000
Zn1 Zn 0.000 0.250 0.379
Ga1 Ga 0.250 0.250 0.750
O1 O 0.000 0.029 0.746
O2 O 0.246 0.250 0.526
```

Summary:
E_tot: -140.57 eV for the cell shown
ΔE_f (raw): -1235 meV per atom



Entry 4:
ZrTl2Ga2O6 | GGA-PBE | relaxed

Geometry as CIF:
```
data_ZrTl2Ga2O6
_cell_length_a 6.0084
_cell_length_b 6.0084
_cell_length_c 17.7608
_cell_angle_alpha 90.00
_cell_angle_beta 90.00
_cell_angle_gamma 120.00
_space_group_name_H-M_alt 'R -3 m'
_space_group_IT_number 166
_space_group_name_Hall '-R 3 2"'
loop_
_atom_site_label
_atom_site_type_symbol
_atom_site_fract_x
_atom_site_fract_y
_atom_site_fract_z
Zr1 Zr 0.0000 0.0000 0.0000
Tl1 Tl 0.0000 0.0000 0.2045
Ga1 Ga 0.0000 0.0000 0.3999
O1 O 0.0095 0.5048 0.7395
```

Summary:
E_tot: -205.57 eV for the cell shown
ΔE_f (raw): -1767 meV per atom



Entry 5:
Tm2GaO | GGA-PBE | relaxed

Geometry as CIF:
```
data_Tm2GaO
_cell_length_a 3.4551
_cell_length_b 3.4551
_cell_length_c 21.2045
_cell_angle_alpha 90.00
_cell_angle_beta 90.00
_cell_angle_gamma 120.00
_space_group_name_H-M_alt 'R -3 m'
_space_group_IT_number 166
_space_group_name_Hall '-R 3 2"'
loop_
_atom_site_label
_atom_site_type_symbol
_atom_site_fract_x
_atom_site_fract_y
_atom_site_fract_z
Tm1 Tm 0.0000 0.0000 0.2301
Ga1 Ga 0.0000 0.0000 0.0000
O1 O 0.0000 0.0000 0.5000
```

Summary:
E_tot: -70.64 eV for the cell shown
ΔE_f (raw): -1655 meV per atom



Entry 6:
TmGaO | GGA-PBE | relaxed

Geometry as CIF:
```
data_TmGaO
_cell_length_a 3.3452
_cell_length_b 3.3452
_cell_length_c 13.4518
_cell_angle_alpha 90.00
_cell_angle_beta 90.00
_cell_angle_gamma 120.00
_space_group_name_H-M_alt 'P 3 m 1'
_space_group_IT_number 156
loop_
_space_group_symop_operation_xyz
'x,y,z'
'-y,x-y,z'
'-x+y,-x,z'
'-y,-x,z'
'-x+y,y,z'
'x,x-y,z'
loop_
_atom_site_label
_atom_site_type_symbol
_atom_site_fract_x
_atom_site_fract_y
_atom_site_fract_z
Tm1 Tm 0.0000 0.0000 0.0000
Tm2 Tm 0.0000 0.0000 0.3726
Ga1 Ga 0.0000 0.0000 0.7708
Ga2 Ga 0.6667 0.3333 0.1783
O1 O 0.6667 0.3333 0.4324
O2 O 0.6667 0.3333 0.7246
```

Summary:
E_tot: -32.59 eV for the cell shown
ΔE_f (raw): -1279 meV per atom